! PdRhN3 PBE relaxed; values from VASP
&SYSTEM
  ibrav = 0, nat = 5, ntyp = 3
/
ATOMIC_SPECIES
Pd 106.42 Pd.upf
Rh 102.91 Rh.upf
N 14.01 N.upf
CELL_PARAMETERS angstrom
3.871 0.000 0.000
0.000 3.871 0.000
0.000 0.000 3.871
ATOMIC_POSITIONS crystal
Pd 0.000 0.000 0.000
Rh 0.500 0.500 0.500
N 0.000 0.500 0.500
N 0.500 0.000 0.500
N 0.500 0.500 0.000
! Total magnetic moment ... 1.8 μB/f.u.
! Electronic total energy ... -5.694 eV per atom
! Raw formation energy ... 41.74 kcal/mol of atoms
! SG ... Pm-3m

=====

! MgZrCd3 PBE relaxed; values from VASP
&SYSTEM
  ibrav = 0, nat = 5, ntyp = 3
/
ATOMIC_SPECIES
Mg 24.30 Mg.upf
Zr 91.22 Zr.upf
Cd 112.41 Cd.upf
CELL_PARAMETERS angstrom
4.980 0.000 0.000
0.000 4.980 0.000
0.000 0.000 4.980
ATOMIC_POSITIONS crystal
Mg 0.000 0.000 0.000
Zr 0.500 0.500 0.500
Cd 0.000 0.000 0.500
Cd 0.000 0.500 0.000
Cd 0.500 0.000 0.000
! Total magnetic moment ... 0.0 μB/f.u.
! Relative energy among the computed polymorphs ... 17.42 kcal/mol of atoms
! Electronic total energy ... -1.932 eV per atom
! Formation enthalpy at 0 K ... 62 kJ/mol of atoms
! SG ... Pm-3m

=====

! Y15Er4Th PBE relaxed; values from VASP
&SYSTEM
  ibrav = 0, nat = 20, ntyp = 3
/
ATOMIC_SPECIES
Y 88.91 Y.upf
Er 167.26 Er.upf
Th 232.04 Th.upf
CELL_PARAMETERS angstrom
5.048 0.000 0.000
0.000 5.048 0.000
0.000 0.000 25.167
ATOMIC_POSITIONS crystal
Y 0.000 0.000 0.000
Y 0.000 0.000 0.201
Y 0.000 0.000 0.400
Y 0.000 0.000 0.600
Y 0.000 0.000 0.799
Y 0.000 0.500 0.099
Y 0.000 0.500 0.300
Y 0.000 0.500 0.500
Y 0.000 0.500 0.700
Y 0.000 0.500 0.901
Y 0.500 0.000 0.099
Y 0.500 0.000 0.300
Y 0.500 0.000 0.500
Y 0.500 0.000 0.700
Y 0.500 0.000 0.901
Er 0.500 0.500 0.200
Er 0.500 0.500 0.400
Er 0.500 0.500 0.600
Er 0.500 0.500 0.800
Th 0.500 0.500 0.000
! Total magnetic moment ... 0.0 μB/f.u.
! Electronic total energy ... -6.102 eV per atom
! Formation enthalpy at 0 K ... 3 kJ/mol of atoms
! SG ... P4/mmm

=====

! Tb2CoGe4 PBE relaxed; values from VASP
&SYSTEM
  ibrav = 0, nat = 7, ntyp = 3
/
ATOMIC_SPECIES
Tb 158.93 Tb.upf
Co 58.93 Co.upf
Ge 72.64 Ge.upf
CELL_PARAMETERS angstrom
4.119 0.000 0.000
0.000 2.081 7.932
0.000 -2.081 7.932
ATOMIC_POSITIONS crystal
Tb 0.000 0.000 0.000
Tb 0.500 0.209 0.209
Co 0.000 0.795 0.795
Ge 0.000 0.363 0.363
Ge 0.000 0.650 0.650
Ge 0.500 0.545 0.545
Ge 0.500 0.861 0.861
! Total magnetic moment ... 0.0 μB/f.u.
! Electronic total energy ... -5.639 eV per atom
! Formation enthalpy at 0 K ... -64 kJ/mol of atoms
! SG ... Amm2

=====

! BaZn4Rh PBE relaxed; values from VASP
&SYSTEM
  ibrav = 0, nat = 6, ntyp = 3
/
ATOMIC_SPECIES
Ba 137.33 Ba.upf
Zn 65.41 Zn.upf
Rh 102.91 Rh.upf
CELL_PARAMETERS angstrom
5.041 0.000 0.000
-2.203 4.534 0.000
-0.096 -0.140 6.233
ATOMIC_POSITIONS crystal
Ba 0.000 0.000 0.000
Zn 0.000 0.500 0.500
Zn 0.491 0.491 0.699
Zn 0.500 0.000 0.500
Zn 0.509 0.509 0.301
Rh 0.000 0.000 0.500
! Total magnetic moment ... 0.0 μB/f.u.
! Relative energy among the computed polymorphs ... 1.69 kcal/mol of atoms
! Electronic total energy ... -2.569 eV per atom
! Formation enthalpy at 0 K ... -17 kJ/mol of atoms
! SG ... P-1

=====

! SrLaP PBE relaxed; values from VASP
&SYSTEM
  ibrav = 0, nat = 3, ntyp = 3
/
ATOMIC_SPECIES
Sr 87.62 Sr.upf
La 138.91 La.upf
P 30.97 P.upf
CELL_PARAMETERS angstrom
-1.886 1.886 6.926
1.886 -1.886 6.926
1.886 1.886 -6.926
ATOMIC_POSITIONS crystal
Sr 0.000 0.000 0.000
La 0.240 0.240 0.000
P 0.641 0.641 0.000
! Total magnetic moment ... 0.0 μB/f.u.
! Relative energy among the computed polymorphs ... 2.23 kcal/mol of atoms
! Electronic total energy ... -4.792 eV per atom
! Formation enthalpy at 0 K ... -76 kJ/mol of atoms
! SG ... I4mm